Below is CoAsW2 at its PBEsol-relaxed geometry, with properties calculated at the meta-GGA SCAN level.

ΔE_f ... 0.405 eV per atom

Cell lengths 2.8976, 2.8976, 6.5649 Å; angles 90.00, 90.00, 90.00 degrees
Last column: nearest neighbours and their distance in Å.
Space group P4/mmm (No. 123)
Unique sites:
1 Co 0.0000 0.0000 0.0000 x1  8 W 2.62, 4 Co 2.90
2 As 0.0000 0.0000 0.5000 x1  8 W 2.63, 4 As 2.90
3 W 0.5000 0.5000 0.2492 x2  4 Co 2.62, 4 As 2.63, 4 W 2.90